No. 1
Entry from the Alexandria database: an optimized crystal structure of Tb4SmDy7 (PBE).

Lattice parameters (Å, degrees): 6.699 6.699 12.652 115.00 115.00 52.02
Sites, in units of the cell vectors:
Tb (0.135, 0.135, 0.276)
Tb (0.255, 0.255, 0.819)
Tb (0.745, 0.745, 0.181)
Tb (0.865, 0.865, 0.724)
Sm (0.500, 0.500, 0.500)
Dy (0.000, 0.000, 0.500)
Dy (0.133, 0.133, 0.001)
Dy (0.289, 0.289, 0.577)
Dy (0.439, 0.439, 0.175)
Dy (0.561, 0.561, 0.825)
Dy (0.711, 0.711, 0.423)
Dy (0.867, 0.867, 0.999)

Volume   32.9 A^3/atom
DFT total energy   -4.35 eV/atom
Excess energy over the best structure of this formula in the dataset   187 meV per atom
Calculated formation energy   3.3 eV per formula unit

=====

No. 2
Entry from the Alexandria database: an optimized crystal structure of DyPu2Mn9 (PBE).

Lattice parameters (Å, degrees): 8.666 8.666 8.666 34.23 34.23 34.23
Sites, in units of the cell vectors:
Dy (0.000, 0.000, 0.000)
Pu (0.148, 0.148, 0.148)
Pu (0.852, 0.852, 0.852)
Mn (0.088, 0.576, 0.576)
Mn (0.331, 0.331, 0.331)
Mn (0.424, 0.424, 0.912)
Mn (0.424, 0.912, 0.424)
Mn (0.500, 0.500, 0.500)
Mn (0.576, 0.088, 0.576)
Mn (0.576, 0.576, 0.088)
Mn (0.669, 0.669, 0.669)
Mn (0.912, 0.424, 0.424)

Volume   15.3 A^3/atom
DFT total energy   -9.56 eV/atom
Calculated formation energy   1.1 eV per formula unit

=====

No. 3
Entry from the Alexandria database: an optimized crystal structure of Ru5Pb (PBE).

Lattice parameters (Å, degrees): 5.069 5.069 4.574 90.00 90.00 120.00
Sites, in units of the cell vectors:
Ru (0.000, 0.500, 0.000)
Ru (0.333, 0.667, 0.500)
Ru (0.500, 0.000, 0.000)
Ru (0.500, 0.500, 0.000)
Ru (0.667, 0.333, 0.500)
Pb (0.000, 0.000, 0.500)

Volume   17.0 A^3/atom
DFT total energy   -7.68 eV/atom
Excess energy over the best structure of this formula in the dataset   347 meV per atom
Calculated formation energy   4.0 eV per formula unit